# 1
Here is a relaxed structure of CaBeP from Alexandria. Energies are from PBE.

Geometry as POSCAR:
```
CaBeP
1.0
-1.736 1.896 2.964
0.012 -3.302 2.119
11.781 3.170 4.873
P Be Ca
4 4 4
Direct
0.500 0.000 0.898
0.500 0.500 0.648
0.000 0.500 0.398
0.000 0.000 0.148
0.000 0.000 0.983
0.000 0.500 0.233
0.500 0.000 0.733
0.500 0.500 0.483
0.500 0.500 0.065
0.000 0.000 0.565
0.000 0.500 0.815
0.500 0.000 0.315
```

Results
ΔE to the lowest computed polymorph: 49 meV/atom
total moment: 0.00 μB/cell
E_tot: -53.3 eV per cell
ΔE_f: -725 meV/atom
DOS(E_F): 4.40 states/eV per cell
calculated density: 2.63 Mg/m³
space group: I4_1md (109)

***

# 2
Here is a relaxed structure of CaBe2P from Alexandria. Energies are from PBE.

Geometry as POSCAR:
```
CaBe2P
1.0
-2.451 -1.431 -3.983
0.646 -4.777 -0.827
-1.312 2.534 3.973
Ca Be P
1 2 1
Direct
0.250 0.750 0.500
0.000 0.000 0.000
0.500 0.500 0.000
0.750 0.250 0.500
```

Results
total moment: 0.00 μB/cell
E_tot: -13.5 eV per cell
ΔE_f: 334 meV/atom
DOS(E_F): 1.37 states/eV per cell
calculated density: 2.39 Mg/m³
space group: I4/mmm (139)

***

# 3
Here is a relaxed structure of Ca3BeP from Alexandria. Energies are from PBE.

Geometry as POSCAR:
```
Ca3BeP
1.0
-2.058 4.789 -1.561
-4.948 -2.237 -0.340
-0.941 1.291 5.201
Ca P Be
3 1 1
Direct
0.500 0.000 0.000
0.000 0.500 0.000
0.000 0.000 0.500
0.000 0.000 0.000
0.500 0.500 0.500
```

Results
total moment: 0.00 μB/cell
E_tot: -15.7 eV per cell
ΔE_f: -112 meV/atom
DOS(E_F): 3.79 states/eV per cell
calculated density: 1.65 Mg/m³
space group: Pm-3m (221)

***

# 4
Here is a relaxed structure of CaBeP from Alexandria. Energies are from PBE.

Geometry as POSCAR:
```
CaBeP
1.0
-5.862 -2.635 -1.559
-0.507 -0.948 3.509
1.220 10.033 2.886
Be Ca P
4 4 4
Direct
0.572 0.000 0.692
0.428 0.000 0.308
0.572 0.500 0.192
0.428 0.500 0.808
0.798 0.500 0.549
0.202 0.000 0.951
0.798 0.000 0.049
0.202 0.500 0.451
0.764 0.500 0.806
0.236 0.500 0.194
0.764 0.000 0.306
0.236 0.000 0.694
```

Results
ΔE to the lowest computed polymorph: 115 meV/atom
total moment: 0.00 μB/cell
E_tot: -52.5 eV per cell
ΔE_f: -660 meV/atom
DOS(E_F): 1.08 states/eV per cell
calculated density: 2.49 Mg/m³
space group: C2/m (12)

***

# 5
Here is a relaxed structure of CaBe2P from Alexandria. Energies are from PBE.

Geometry as POSCAR:
```
CaBe2P
1.0
3.502 0.000 0.000
0.000 3.502 -0.007
0.000 0.018 5.431
P Be Ca
1 2 1
Direct
0.500 0.875 0.825
0.500 0.375 0.062
0.000 0.875 0.062
0.000 0.376 0.552
```

Results
total moment: 0.00 μB/cell
E_tot: -15.6 eV per cell
ΔE_f: -192 meV/atom
DOS(E_F): 2.40 states/eV per cell
calculated density: 2.22 Mg/m³
space group: Pm (6)

***

# 6
Here is a relaxed structure of CaBeP from Alexandria. Energies are from PBE.

Geometry as POSCAR:
```
CaBeP
1.0
-2.531 2.428 -2.191
0.543 0.407 -4.079
-2.718 -1.680 -2.625
Ca Be P
1 1 1
Direct
0.000 0.000 0.000
0.750 0.750 0.750
0.500 0.500 0.500
```

Results
ΔE to the lowest computed polymorph: 650 meV/atom
total moment: 0.00 μB/cell
E_tot: -11.5 eV per cell
ΔE_f: -124 meV/atom
DOS(E_F): 1.50 states/eV per cell
calculated density: 2.66 Mg/m³
space group: F-43m (216)

***

# 7
Here is a relaxed structure of CaBe2P from Alexandria. Energies are from PBE.

Geometry as POSCAR:
```
CaBe2P
1.0
3.679 -0.097 0.050
1.987 3.098 0.050
1.727 0.915 5.535
Be P Ca
2 1 1
Direct
0.040 0.040 0.874
0.460 0.460 0.626
0.750 0.750 0.750
0.250 0.250 0.250
```

Results
total moment: 0.00 μB/cell
E_tot: -14.9 eV per cell
ΔE_f: -18 meV/atom
DOS(E_F): 1.54 states/eV per cell
calculated density: 2.32 Mg/m³
space group: C2/m (12)

***

# 8
Here is a relaxed structure of CaBeP from Alexandria. Energies are from PBE.

Geometry as POSCAR:
```
CaBeP
1.0
-1.438 -2.183 5.112
-0.645 -3.332 -1.604
10.455 -1.657 -0.763
P Be Ca
4 4 4
Direct
0.274 0.500 0.288
0.730 0.000 0.163
0.730 0.500 0.663
0.274 0.000 0.788
0.082 0.000 0.313
0.082 0.500 0.813
0.577 0.500 0.204
0.577 0.000 0.704
0.185 0.500 0.561
0.185 0.000 0.061
0.622 0.500 0.930
0.622 0.000 0.430
```

Results
ΔE to the lowest computed polymorph: 159 meV/atom
total moment: 0.00 μB/cell
E_tot: -51.9 eV per cell
ΔE_f: -615 meV/atom
DOS(E_F): 4.60 states/eV per cell
calculated density: 2.40 Mg/m³
space group: Cm (8)

***

# 9
Here is a relaxed structure of CaBe2P from Alexandria. Energies are from PBE.

Geometry as POSCAR:
```
CaBe2P
1.0
4.446 0.000 0.000
2.223 3.850 0.000
2.223 1.283 3.630
Ca P Be
1 1 2
Direct
0.500 0.500 0.500
0.750 0.750 0.750
0.000 0.000 0.000
0.250 0.250 0.250
```

Results
total moment: 0.00 μB/cell
E_tot: -13.2 eV per cell
ΔE_f: 414 meV/atom
DOS(E_F): 3.16 states/eV per cell
calculated density: 2.38 Mg/m³
space group: F-43m (216)

***

# 10
Here is a relaxed structure of CaBeP from Alexandria. Energies are from PBE.

Geometry as POSCAR:
```
CaBeP
1.0
-0.933 2.997 -1.987
-2.461 -2.739 0.497
-2.830 3.833 7.109
Be P Ca
2 2 2
Direct
0.666 0.333 0.250
0.334 0.667 0.750
0.333 0.666 0.250
0.667 0.334 0.750
0.000 0.000 0.500
0.000 0.000 0.000
```

Results
ΔE to the lowest computed polymorph: 14 meV/atom
total moment: 0.00 μB/cell
E_tot: -26.8 eV per cell
ΔE_f: -760 meV/atom
DOS(E_F): 3.32 states/eV per cell
calculated density: 2.60 Mg/m³
space group: P6_3/mmc (194)

***

# 11
Here is a relaxed structure of CaBe2P from Alexandria. Energies are from PBE.

Geometry as POSCAR:
```
CaBe2P
1.0
-4.044 -2.319 1.413
1.138 -3.529 3.159
1.160 4.728 -0.165
Ca Be P
1 2 1
Direct
0.500 0.500 0.000
0.000 0.000 0.000
0.250 0.750 0.500
0.750 0.250 0.500
```

Results
total moment: 0.00 μB/cell
E_tot: -13.3 eV per cell
ΔE_f: 395 meV/atom
DOS(E_F): 1.85 states/eV per cell
calculated density: 2.37 Mg/m³
space group: I-4m2 (119)

***

# 12
Here is a relaxed structure of CaBe2P from Alexandria. Energies are from PBE.

Geometry as POSCAR:
```
CaBe2P
1.0
3.960 0.002 -0.003
2.359 3.181 -0.003
1.538 0.775 5.149
Ca Be P
1 2 1
Direct
0.524 0.524 0.488
0.969 0.969 0.054
0.263 0.263 0.086
0.745 0.745 0.873
```

Results
total moment: 0.00 μB/cell
E_tot: -15.7 eV per cell
ΔE_f: -221 meV/atom
DOS(E_F): 1.40 states/eV per cell
calculated density: 2.28 Mg/m³
space group: Cm (8)